8
Lattice="6.1386 -0.1510 2.3094 0.2755 6.5211 0.1041 1.0233 -0.0776 6.5886" Properties=species:S:1:pos:R:3 comment="Y6TmZr, relaxed, DFT PBE" density_g_cm3=5.30 formation_enthalpy_0k_ev_per_atom=0.234 pbc="T T T"
Y 0.8964 4.8117 3.8278
Y 4.2221 4.7363 4.3000
Y 3.2152 1.5561 4.7022
Y 6.5410 1.4808 5.1744
Y 3.9618 4.7177 7.6929
Y 3.4756 1.5748 1.3093
Tm 0.0000 0.0000 0.0000
Zr 0.1378 3.2606 0.0520

4
Lattice="6.8098 0.0285 -0.0036 5.3515 4.2113 -0.0036 2.6047 0.9081 5.3703" Properties=species:S:1:pos:R:3 comment="K2TlHg, relaxed, DFT PBE" density_g_cm3=5.24 formation_enthalpy_0k_ev_per_atom=-0.133 pbc="T T T"
K 11.9051 4.1505 0.1504
K 11.2472 3.9211 3.9157
Tl 7.7469 2.7008 2.4886
Hg 3.4112 1.1892 1.4828

11
Lattice="-3.5594 -6.2575 -0.4399 4.6038 1.8426 -4.3353 3.6862 -2.5931 7.0604" Properties=species:S:1:pos:R:3 comment="PaTl2As2S6, relaxed, DFT PBE" total_energy_ha_per_atom=-0.1816 density_g_cm3=5.34 pbc="T T T"
Pa 0.0634 -4.4253 3.3103
Tl -0.2625 -3.9361 -1.0117
Tl 4.9931 -3.0719 3.2968
As 3.5328 -6.2641 1.3944
As 1.1978 -0.7439 0.8908
S 1.5644 -5.1352 1.2625
S 4.2931 -0.1888 -2.2274
S 2.2329 -3.6629 4.7344
S 0.4375 -6.8192 4.5125
S 2.4977 -3.3451 -2.4493
S 3.1662 -1.8729 1.0227

15
Lattice="-5.2994 -2.2969 5.9388 7.6572 -3.1525 -0.1645 -1.2792 7.7241 1.8460" Properties=species:S:1:pos:R:3 comment="Er3NpAg3Se8, relaxed, DFT PBE" total_energy_ha_per_atom=-0.1961 density_g_cm3=7.34 pbc="T T T"
Er -3.2893 2.7136 3.8924
Er 0.5393 1.1373 3.8101
Er 3.1890 2.2858 0.8408
Np -0.6396 3.8620 0.9230
Ag 0.0000 0.0000 0.0000
Ag 3.8286 -1.5763 -0.0823
Ag 1.1789 -2.7247 2.8871
Se 2.1908 -0.1923 1.8805
Se -1.1121 2.4670 5.7398
Se -0.4535 -1.3182 4.8635
Se 1.5321 3.5929 2.7568
Se -4.2753 0.2549 4.9451
Se 5.3539 2.0197 2.6752
Se -1.6306 1.4012 1.9813
Se 2.7093 0.8734 5.6389

4
Lattice="-1.2588 -0.1581 4.6798 -2.1211 -4.2166 -0.7130 4.0929 -2.2323 1.0255" Properties=species:S:1:pos:R:3 comment="Pr2DyGe, relaxed, DFT PBE" density_g_cm3=7.77 formation_enthalpy_0k_ev_per_atom=-0.325 pbc="T T T"
Pr 2.0465 -1.1162 0.5128
Pr -1.0606 -2.1083 -0.3565
Ge 0.3565 -3.3035 2.4962
Dy -0.6294 -0.0790 2.3399

4
Lattice="-0.9236 -2.0622 1.4579 1.9921 0.8474 1.5951 -6.4067 6.1980 4.7085" Properties=species:S:1:pos:R:3 comment="KRe2Rh, relaxed, DFT PBE" density_g_cm3=11.90 formation_enthalpy_0k_ev_per_atom=0.860 pbc="T T T"
K -4.2707 4.0411 5.0579
Re -0.3104 0.3003 0.2281
Re -2.8929 2.7987 2.1261
Rh -1.0674 0.9421 2.7036

5
Lattice="-1.6232 4.4279 -2.0942 -3.6600 -2.8681 -3.2274 -3.5859 0.4286 3.6856" Properties=species:S:1:pos:R:3 comment="InRe2SnPb, relaxed, DFT PBE" density_g_cm3=8.96 formation_enthalpy_0k_ev_per_atom=2.344 pbc="T T T"
Pb 0.0000 0.0000 0.0000
Re -1.7930 0.2143 1.8428
Re -0.8116 2.2139 -1.0471
Sn -1.8300 -1.4341 -1.6137
In -4.4345 0.9942 -0.8180

10
Lattice="5.8686 0.0000 0.0000 0.0005 7.9341 0.0051 0.0001 0.0076 6.2647" Properties=species:S:1:pos:R:3 comment="IrICl3, relaxed, DFT PBE" total_energy_ha_per_atom=-0.1269 density_g_cm3=4.84 pbc="T T T"
Ir 1.0108 5.3657 4.3936
Ir 3.9451 5.3740 1.2612
I 2.3137 3.0832 4.3963
I 5.2474 7.6569 1.2581
Cl 2.7392 3.3405 1.2636
Cl 2.4804 6.3926 5.9472
Cl 5.4146 4.3510 2.8173
Cl 5.6735 7.3991 4.3911
Cl 5.4149 4.3547 5.9727
Cl 2.4804 6.3889 2.8377

12
Lattice="6.3789 0.0001 0.0000 3.1894 5.5244 0.0000 3.1895 1.8415 10.1797" Properties=species:S:1:pos:R:3 comment="CsNbFe2Cl8, relaxed, DFT PBE" total_energy_ha_per_atom=-0.1703 density_g_cm3=2.88 pbc="T T T"
Cs 6.3789 3.6829 5.0898
Nb 0.0000 0.0000 0.0000
Fe 3.1894 1.8415 2.1892
Fe 9.5684 5.5244 7.9905
Cl 3.1894 1.8415 4.4209
Cl 5.3623 1.7471 1.4587
Cl 9.5684 5.5244 5.7588
Cl 8.5637 3.7704 1.4587
Cl 4.1941 3.5955 8.7210
Cl 5.2108 5.5313 1.4587
Cl 7.5470 1.8346 8.7210
Cl 7.3955 5.6187 8.7210

4
Lattice="-2.6623 -0.0774 5.7004 -4.2084 -4.4480 1.4466 1.4924 -4.5261 4.1079" Properties=species:S:1:pos:R:3 comment="CsSrMg2, relaxed, DFT PBE" density_g_cm3=2.54 formation_enthalpy_0k_ev_per_atom=0.232 pbc="T T T"
Cs -2.6892 -4.5258 5.6274
Sr 0.0000 0.0000 0.0000
Mg -1.3446 -2.2629 2.8137
Mg -4.0337 -6.7886 8.4412

5
Lattice="-2.1587 -3.8033 1.4474 2.7044 -2.5674 -2.7130 3.0433 -0.4212 3.4322" Properties=species:S:1:pos:R:3 comment="HfGeTe2N, relaxed, DFT PBE" total_energy_ha_per_atom=-0.1961 density_g_cm3=8.83 pbc="T T T"
Ge 1.3522 -1.2837 -1.3565
Te 1.5217 -0.2106 1.7161
Te -1.0793 -1.9016 0.7237
Hf 1.7945 -3.3959 1.0833
N 0.0000 0.0000 0.0000

5
Lattice="-4.6305 0.7344 -0.3335 -0.8388 -4.9848 0.6695 -0.2296 0.6629 4.6476" Properties=species:S:1:pos:R:3 comment="LiLaBiS2, relaxed, DFT PBE" total_energy_ha_per_atom=-0.1555 density_g_cm3=6.18 pbc="T T T"
S -0.1148 0.3314 2.3238
S -2.3153 0.3672 -0.1668
Li 0.0000 0.0000 0.0000
Bi -2.8495 -1.7937 2.4918
La -0.4194 -2.4924 0.3348

8
Lattice="-2.9484 -2.6396 4.6637 2.9715 0.0516 1.9112 3.1688 9.0846 11.1648" Properties=species:S:1:pos:R:3 comment="Dy4HoEr3, relaxed, DFT PBE" density_g_cm3=8.88 formation_enthalpy_0k_ev_per_atom=0.004 pbc="T T T"
Er 1.4858 0.0258 0.9556
Er 0.4151 4.7363 12.3062
Er 2.7769 1.7603 5.4335
Ho -1.4742 -1.3198 2.3319
Dy -0.1838 0.4133 6.8104
Dy 3.3758 6.0832 10.9293
Dy 3.0773 3.9182 8.1801
Dy 0.1147 2.5784 9.5596

8
Lattice="-3.8011 -0.4532 2.4063 4.1871 -0.0119 6.6119 0.7751 7.3299 2.6048" Properties=species:S:1:pos:R:3 comment="LaNd2DySb4, relaxed, DFT PBE" total_energy_ha_per_atom=-0.2070 density_g_cm3=6.86 pbc="T T T"
La 0.1930 -0.2325 4.5091
Nd 0.7751 7.3299 2.6048
Nd -1.5130 3.4384 2.5056
Dy 2.4811 3.6590 4.6083
Sb 3.7165 5.4446 6.8961
Sb -2.5554 1.4202 4.7268
Sb 1.4202 1.6514 6.8024
Sb -0.2591 5.2134 4.8205

12
Lattice="-3.4213 -1.8677 -2.1648 5.5988 -3.0131 -6.2490 1.5436 -6.2724 7.5637" Properties=species:S:1:pos:R:3 comment="Tb6Bi3Te2Pb, relaxed, DFT PBE" total_energy_ha_per_atom=-0.1878 density_g_cm3=9.04 pbc="T T T"
Tb 5.0416 -7.6179 -1.3956
Tb 1.5115 -5.0812 -2.5966
Tb -1.3205 -3.5352 0.5454
Tb -0.5079 -8.8696 3.8632
Tb 4.2289 -2.2835 -4.7134
Tb 2.2096 -6.0719 1.7464
Bi 1.0888 -2.4404 -4.2069
Bi -0.8861 -6.2133 2.1693
Bi 4.6072 -4.9398 -3.0195
Te 1.9006 -7.7304 -0.9260
Te 1.8205 -3.4228 0.0758
Pb -1.7107 -0.9338 -1.0824

11
Lattice="-3.2662 1.2740 -1.1018 -0.4071 -2.3236 -7.4791 -4.2840 -6.5157 -0.8336" Properties=species:S:1:pos:R:3 comment="Ga2Ag2Au7, relaxed, DFT PBE" density_g_cm3=14.31 formation_enthalpy_0k_ev_per_atom=-0.091 pbc="T T T"
Ga -2.9901 -2.7138 -6.4017
Ga -4.9672 -4.8516 -3.0127
Ag -6.0434 -6.2698 -7.4807
Ag -1.9139 -1.2956 -1.9338
Au -3.0876 -3.8759 -1.3502
Au -6.8136 -5.7914 -4.7321
Au -4.8696 -3.6894 -8.0643
Au -1.1437 -1.7739 -4.6823
Au 0.0000 0.0000 0.0000
Au -3.8040 -2.5638 -3.8365
Au -4.1533 -5.0015 -5.5780

5
Lattice="5.0952 0.0000 0.0000 0.0000 5.4846 0.0000 0.0000 0.0000 5.0952" Properties=species:S:1:pos:R:3 comment="RbMgTc2Pb, relaxed, DFT PBE" density_g_cm3=5.98 formation_enthalpy_0k_ev_per_atom=1.589 pbc="T T T"
Pb 0.0000 2.7423 0.0000
Mg 0.0000 0.0000 0.0000
Tc 0.0000 0.0000 2.5476
Tc 2.5476 0.0000 0.0000
Rb 2.5476 2.7423 2.5476

11
Lattice="5.7029 0.0879 -0.9380 -1.8349 6.8128 -2.7574 -0.0304 -0.0030 7.5752" Properties=species:S:1:pos:R:3 comment="Dy8Os2Pd, relaxed, DFT PBE" density_g_cm3=10.05 formation_enthalpy_0k_ev_per_atom=-0.255 pbc="T T T"
Dy 2.7172 2.3635 -0.9112
Dy 3.1928 0.5670 1.8122
Dy 0.3676 2.5475 1.6162
Dy 5.2100 1.6250 4.3406
Dy 4.2142 5.3864 -1.3616
Dy 3.3487 4.3743 2.3006
Dy 0.4973 6.3814 2.1271
Dy 0.9729 4.5852 4.8501
Os 1.5184 4.7631 0.0245
Os 2.1981 2.1956 3.9167
Pd 0.5889 0.0184 -0.0907

3
Lattice="-0.8978 -0.3626 -2.7988 1.2824 -3.6742 0.0647 -3.6551 0.8045 1.0682" Properties=species:S:1:pos:R:3 comment="AlAsH, relaxed, DFT PBE" total_energy_ha_per_atom=-0.1308 density_g_cm3=4.40 pbc="T T T"
H -1.1125 -2.4838 -1.9359
As -2.3081 -0.8091 -0.1978
Al -0.7477 -0.3020 -2.3310

6
Lattice="-1.1886 6.4059 -0.3579 -5.9029 2.1279 -1.7898 -3.9104 2.8424 4.3823" Properties=species:S:1:pos:R:3 comment="SmGdLu4, relaxed, DFT PBE" density_g_cm3=8.52 formation_enthalpy_0k_ev_per_atom=0.259 pbc="T T T"
Gd 0.0000 0.0000 0.0000
Lu -4.9200 5.6889 -0.7977
Lu -3.9221 6.0468 2.2936
Lu -6.8786 7.1126 1.3971
Lu -6.2832 3.9042 1.5764
Sm -2.7505 2.8441 0.5587